# PBE-GGA CrAs3Cl, relaxed
# Raw formation energy: 0.1882 eV/atom
# Uncorrected energy: -24.48 eV/cell
# Offset from the most stable computed form: 0.0000 eV/atom
# Volume: 20.09 Å³ per atom
data_CrAs3Cl
_cell_length_a 4.648
_cell_length_b 4.648
_cell_length_c 4.648
_cell_angle_alpha 90.00
_cell_angle_beta 90.00
_cell_angle_gamma 90.00
_space_group_name_H-M_alt 'P m -3 m'
_space_group_IT_number 221
_space_group_name_Hall '-P 4 2 3'
loop_
_atom_site_label
_atom_site_type_symbol
_atom_site_fract_x
_atom_site_fract_y
_atom_site_fract_z
_atom_site_occupancy
Cr1 Cr 0.000 0.000 0.000 1
As1 As 0.000 0.000 0.500 1
Cl1 Cl 0.500 0.500 0.500 1